# 1
This record from Alexandria describes an optimized crystal structure of PrSmErMg. The functional is PBE.

a b c (Å): 5.590 5.590 5.590
angles (deg): 60.00 60.00 60.00
Fractional coordinates of all 4 atoms:
Pr: 0.000 0.000 0.000
Sm: 0.500 0.500 0.500
Er: 0.250 0.250 0.250
Mg: 0.750 0.750 0.750

Results
* formation energy from the elements: 0.1 eV/f.u.
* size of the total moment: 0.00 Bohr magnetons per cell
* crystal system: cubic
* E above lowest polymorph: 16.8 kJ/mol of formula units

# 2
This record from Alexandria describes an optimized crystal structure of AsAu3Cl. The functional is PBE.

a b c (Å): 4.923 4.923 4.923
angles (deg): 90.00 90.00 90.00
Fractional coordinates of all 5 atoms:
As: 0.000 0.000 0.000
Au: 0.000 0.500 0.500
Au: 0.500 0.000 0.500
Au: 0.500 0.500 0.000
Cl: 0.500 0.500 0.500

Results
* size of the total moment: 0.00 Bohr magnetons per cell
* crystal system: cubic
* E above lowest polymorph: 331.0 kJ/mol of formula units
* raw formation energy: 1.04 eV per atom

# 3
This record from Alexandria describes an optimized crystal structure of SnAuBr. The functional is PBE.

a b c (Å): 3.861 3.961 6.144
angles (deg): 90.00 108.03 90.00
Fractional coordinates of all 3 atoms:
Sn: 0.000 0.000 0.000
Au: 0.455 0.500 0.907
Br: 0.221 0.000 0.447

Results
* size of the total moment: 0.00 Bohr magnetons per cell
* crystal system: monoclinic
* E above lowest polymorph: 0.0 kJ/mol of formula units
* raw formation energy: -0.28 eV per atom

# 4
This record from Alexandria describes an optimized crystal structure of Pm8Sm2Tm. The functional is PBE.

a b c (Å): 10.210 10.210 5.739
angles (deg): 93.57 93.57 40.60
Fractional coordinates of all 11 atoms:
Pm: 0.045 0.045 0.234
Pm: 0.108 0.635 0.269
Pm: 0.314 0.314 0.772
Pm: 0.365 0.892 0.731
Pm: 0.635 0.108 0.269
Pm: 0.686 0.686 0.228
Pm: 0.892 0.365 0.731
Pm: 0.955 0.955 0.766
Sm: 0.216 0.216 0.258
Sm: 0.784 0.784 0.742
Tm: 0.500 0.500 0.000

Results
* formation energy from the elements: 1.8 eV/f.u.
* size of the total moment: 0.00 Bohr magnetons per cell
* crystal system: monoclinic
* E above lowest polymorph: 158.1 kJ/mol of formula units

# 5
This record from Alexandria describes an optimized crystal structure of Zn2Hg. The functional is PBE.

a b c (Å): 7.690 7.690 3.300
angles (deg): 90.00 90.00 120.00
Fractional coordinates of all 9 atoms:
Zn: 0.000 0.296 0.000
Zn: 0.000 0.636 0.500
Zn: 0.296 0.000 0.000
Zn: 0.364 0.364 0.500
Zn: 0.636 0.000 0.500
Zn: 0.704 0.704 0.000
Hg: 0.000 0.000 0.500
Hg: 0.333 0.667 0.000
Hg: 0.667 0.333 0.000

Results
* formation energy from the elements: 0.5 eV/f.u.
* size of the total moment: 0.00 Bohr magnetons per cell
* crystal system: hexagonal

# 6
This record from Alexandria describes an optimized crystal structure of Ho4RuSe3. The functional is PBE.

a b c (Å): 7.166 7.166 3.964
angles (deg): 90.00 90.00 107.69
Fractional coordinates of all 8 atoms:
Ho: 0.229 0.771 0.000
Ho: 0.232 0.232 0.500
Ho: 0.768 0.768 0.500
Ho: 0.771 0.229 0.000
Ru: 0.000 0.000 0.000
Se: 0.000 0.500 0.500
Se: 0.500 0.000 0.500
Se: 0.500 0.500 0.000

Results
* size of the total moment: 0.00 Bohr magnetons per cell
* crystal system: orthorhombic
* raw formation energy: -1.36 eV per atom

# 7
This record from Alexandria describes an optimized crystal structure of Na3Tl3Pd. The functional is PBE.

a b c (Å): 7.892 7.892 7.646
angles (deg): 100.62 100.62 115.34
Fractional coordinates of all 14 atoms:
Na: 0.114 0.886 0.000
Na: 0.240 0.760 0.500
Na: 0.442 0.442 0.193
Na: 0.558 0.558 0.807
Na: 0.760 0.240 0.500
Na: 0.886 0.114 0.000
Tl: 0.125 0.497 0.851
Tl: 0.192 0.192 0.414
Tl: 0.497 0.125 0.851
Tl: 0.503 0.875 0.149
Tl: 0.808 0.808 0.586
Tl: 0.875 0.503 0.149
Pd: 0.163 0.163 0.761
Pd: 0.837 0.837 0.239

Results
* formation energy from the elements: -0.8 eV/f.u.
* size of the total moment: 0.00 Bohr magnetons per cell
* crystal system: monoclinic
* E above lowest polymorph: 0.0 kJ/mol of formula units

# 8
This record from Alexandria describes an optimized crystal structure of NaSr2TlBr6. The functional is PBE.

a b c (Å): 8.361 8.361 8.361
angles (deg): 56.41 56.41 56.41
Fractional coordinates of all 10 atoms:
Na: 0.000 0.000 0.000
Sr: 0.308 0.308 0.308
Sr: 0.801 0.801 0.801
Tl: 0.511 0.511 0.511
Br: 0.081 0.403 0.707
Br: 0.168 0.940 0.593
Br: 0.403 0.707 0.081
Br: 0.593 0.168 0.940
Br: 0.707 0.081 0.403
Br: 0.940 0.593 0.168

Results
* size of the total moment: 0.00 Bohr magnetons per cell
* crystal system: trigonal
* raw formation energy: -1.74 eV per atom

# 9
This record from Alexandria describes an optimized crystal structure of PmTh2Ga2. The functional is PBE.

a b c (Å): 6.219 6.219 6.120
angles (deg): 101.13 101.13 36.77
Fractional coordinates of all 5 atoms:
Pm: 0.000 0.000 0.000
Th: 0.361 0.361 0.435
Th: 0.639 0.639 0.565
Ga: 0.290 0.290 0.901
Ga: 0.710 0.710 0.099

Results
* formation energy from the elements: -1.5 eV/f.u.
* size of the total moment: 0.00 Bohr magnetons per cell
* crystal system: monoclinic
* E above lowest polymorph: 53.8 kJ/mol of formula units

# 10
This record from Alexandria describes an optimized crystal structure of BaInSi2W. The functional is PBE.

a b c (Å): 4.894 4.894 5.815
angles (deg): 90.00 90.00 90.00
Fractional coordinates of all 5 atoms:
Ba: 0.000 0.000 0.000
In: 0.500 0.500 0.000
Si: 0.000 0.500 0.500
Si: 0.500 0.000 0.500
W: 0.000 0.000 0.500

Results
* size of the total moment: 0.00 Bohr magnetons per cell
* crystal system: tetragonal
* raw formation energy: 0.54 eV per atom

# 11
This record from Alexandria describes an optimized crystal structure of BeRe2Se. The functional is PBE.

a b c (Å): 3.006 3.006 6.063
angles (deg): 90.00 90.00 90.00
Fractional coordinates of all 4 atoms:
Be: 0.000 0.000 0.000
Re: 0.500 0.500 0.206
Re: 0.500 0.500 0.794
Se: 0.000 0.000 0.500

Results
* size of the total moment: 0.00 Bohr magnetons per cell
* crystal system: tetragonal
* E above lowest polymorph: 89.3 kJ/mol of formula units
* raw formation energy: 0.36 eV per atom

# 12
This record from Alexandria describes an optimized crystal structure of Rb3Nd3TcO8. The functional is PBE.

a b c (Å): 7.780 7.780 7.780
angles (deg): 54.04 54.04 54.04
Fractional coordinates of all 15 atoms:
Rb: 0.000 0.500 0.500
Rb: 0.500 0.000 0.500
Rb: 0.500 0.500 0.000
Nd: 0.000 0.000 0.500
Nd: 0.000 0.500 0.000
Nd: 0.500 0.000 0.000
Tc: 0.500 0.500 0.500
O: 0.227 0.227 0.227
O: 0.258 0.704 0.704
O: 0.296 0.296 0.742
O: 0.296 0.742 0.296
O: 0.704 0.258 0.704
O: 0.704 0.704 0.258
O: 0.742 0.296 0.296
O: 0.773 0.773 0.773

Results
* size of the total moment: 3.00 Bohr magnetons per cell
* crystal system: trigonal
* raw formation energy: -2.30 eV per atom

# 13
This record from Alexandria describes an optimized crystal structure of MgPaCd2. The functional is PBE.

a b c (Å): 5.609 5.609 3.078
angles (deg): 90.00 90.00 90.00
Fractional coordinates of all 4 atoms:
Mg: 0.000 0.000 0.000
Pa: 0.500 0.500 0.000
Cd: 0.000 0.500 0.500
Cd: 0.500 0.000 0.500

Results
* formation energy from the elements: 0.6 eV/f.u.
* size of the total moment: 1.00 Bohr magnetons per cell
* crystal system: tetragonal
* E above lowest polymorph: 65.3 kJ/mol of formula units

# 14
This record from Alexandria describes an optimized crystal structure of Sr3Sn5Se12. The functional is PBE.

a b c (Å): 14.769 14.769 14.769
angles (deg): 109.47 109.47 109.47
Fractional coordinates of all 80 atoms:
Sr: 0.125 0.250 0.375
Sr: 0.125 0.375 0.750
Sr: 0.250 0.375 0.125
Sr: 0.250 0.875 0.625
Sr: 0.375 0.125 0.250
Sr: 0.375 0.750 0.125
Sr: 0.625 0.250 0.875
Sr: 0.625 0.875 0.750
Sr: 0.750 0.125 0.375
Sr: 0.750 0.625 0.875
Sr: 0.875 0.625 0.250
Sr: 0.875 0.750 0.625
Sn: 0.000 0.000 0.000
Sn: 0.000 0.000 0.500
Sn: 0.000 0.500 0.000
Sn: 0.000 0.500 0.500
Sn: 0.125 0.750 0.875
Sn: 0.125 0.875 0.250
Sn: 0.250 0.125 0.875
Sn: 0.250 0.625 0.375
Sn: 0.375 0.250 0.625
Sn: 0.375 0.625 0.750
Sn: 0.500 0.000 0.000
Sn: 0.500 0.000 0.500
Sn: 0.500 0.500 0.000
Sn: 0.500 0.500 0.500
Sn: 0.625 0.375 0.250
Sn: 0.625 0.750 0.375
Sn: 0.750 0.375 0.625
Sn: 0.750 0.875 0.125
Sn: 0.875 0.125 0.750
Sn: 0.875 0.250 0.125
Se: 0.036 0.214 0.127
Se: 0.036 0.322 0.910
Se: 0.088 0.714 0.678
Se: 0.088 0.873 0.410
Se: 0.090 0.627 0.412
Se: 0.090 0.964 0.678
Se: 0.127 0.036 0.214
Se: 0.127 0.590 0.912
Se: 0.178 0.214 0.588
Se: 0.178 0.464 0.590
Se: 0.214 0.127 0.036
Se: 0.214 0.588 0.178
Se: 0.286 0.322 0.912
Se: 0.286 0.464 0.373
Se: 0.322 0.910 0.036
Se: 0.322 0.912 0.286
Se: 0.373 0.286 0.464
Se: 0.373 0.588 0.910
Se: 0.410 0.088 0.873
Se: 0.410 0.822 0.536
Se: 0.412 0.090 0.627
Se: 0.412 0.822 0.786
Se: 0.464 0.373 0.286
Se: 0.464 0.590 0.178
Se: 0.536 0.410 0.822
Se: 0.536 0.627 0.714
Se: 0.588 0.178 0.214
Se: 0.588 0.910 0.373
Se: 0.590 0.178 0.464
Se: 0.590 0.912 0.127
Se: 0.627 0.412 0.090
Se: 0.627 0.714 0.536
Se: 0.678 0.088 0.714
Se: 0.678 0.090 0.964
Se: 0.714 0.536 0.627
Se: 0.714 0.678 0.088
Se: 0.786 0.412 0.822
Se: 0.786 0.873 0.964
Se: 0.822 0.536 0.410
Se: 0.822 0.786 0.412
Se: 0.873 0.410 0.088
Se: 0.873 0.964 0.786
Se: 0.910 0.036 0.322
Se: 0.910 0.373 0.588
Se: 0.912 0.127 0.590
Se: 0.912 0.286 0.322
Se: 0.964 0.678 0.090
Se: 0.964 0.786 0.873

Results
* size of the total moment: 0.00 Bohr magnetons per cell
* crystal system: cubic
* raw formation energy: -0.84 eV per atom

# 15
This record from Alexandria describes an optimized crystal structure of KZrBr. The functional is PBE.

a b c (Å): 3.549 3.549 7.887
angles (deg): 90.00 90.00 120.00
Fractional coordinates of all 3 atoms:
K: 0.000 0.000 0.000
Zr: 0.667 0.333 0.406
Br: 0.333 0.667 0.653

Results
* size of the total moment: 0.00 Bohr magnetons per cell
* crystal system: trigonal
* E above lowest polymorph: 0.0 kJ/mol of formula units
* raw formation energy: -0.27 eV per atom

# 16
This record from Alexandria describes an optimized crystal structure of PmFeIr. The functional is PBE.

a b c (Å): 4.118 4.118 4.195
angles (deg): 90.00 90.00 120.00
Fractional coordinates of all 3 atoms:
Pm: 0.000 0.000 0.000
Fe: 0.333 0.667 0.500
Ir: 0.667 0.333 0.500

Results
* formation energy from the elements: -1.0 eV/f.u.
* size of the total moment: 2.23 Bohr magnetons per cell
* crystal system: hexagonal
* E above lowest polymorph: 26.0 kJ/mol of formula units

# 17
This record from Alexandria describes an optimized crystal structure of Pa4S5. The functional is PBE.

a b c (Å): 8.042 8.042 8.042
angles (deg): 92.58 92.58 155.50
Fractional coordinates of all 9 atoms:
Pa: 0.153 0.153 0.306
Pa: 0.153 0.847 0.000
Pa: 0.847 0.153 0.000
Pa: 0.847 0.847 0.694
S: 0.217 0.500 0.717
S: 0.500 0.217 0.717
S: 0.500 0.500 0.000
S: 0.500 0.783 0.283
S: 0.783 0.500 0.283

Results
* size of the total moment: 1.21 Bohr magnetons per cell
* crystal system: tetragonal
* raw formation energy: -1.06 eV per atom

# 18
This record from Alexandria describes an optimized crystal structure of Al2AgSb. The functional is PBE.

a b c (Å): 5.168 5.168 3.150
angles (deg): 90.00 90.00 106.40
Fractional coordinates of all 4 atoms:
Al: 0.000 0.500 0.000
Al: 0.500 0.000 0.000
Ag: 0.000 0.000 0.500
Sb: 0.500 0.500 0.500

Results
* size of the total moment: 0.00 Bohr magnetons per cell
* crystal system: orthorhombic
* raw formation energy: 0.17 eV per atom